Here is a relaxed NaZrGa crystal from Alexandria. Energies are from PBE-GGA.

Results
As for the final energy: -51.4 eV for the cell shown. Its energy of formation is 0.016 eV/atom. The value obtained for the density of states at the Fermi level is 6.31 states/eV/cell. The distance to the lowest polymorph of the same formula is 180 meV/atom. The space-group type is Pnma, No. 62.

POSCAR file:
```
NaZrGa
1.0
-4.360 2.228 -3.959
-1.718 -4.119 -0.427
-5.479 1.568 6.915
Ga Zr Na
4 4 4
Direct
0.806 0.250 0.821
0.694 0.750 0.321
0.306 0.250 0.679
0.194 0.750 0.179
0.923 0.250 0.153
0.423 0.250 0.347
0.577 0.750 0.653
0.077 0.750 0.847
0.380 0.250 0.990
0.120 0.750 0.490
0.880 0.250 0.510
0.620 0.750 0.010
```

***

Here is a relaxed NaZrGa2 crystal from Alexandria. Energies are from PBE-GGA.

Results
As for the final energy: -16.8 eV for the cell shown. Its energy of formation is -0.225 eV/atom. The value obtained for the density of states at the Fermi level is 2.70 states/eV/cell. The distance to the lowest polymorph of the same formula is 0 meV/atom. The space-group type is P4/mmm, No. 123.

POSCAR file:
```
NaZrGa2
1.0
3.042 0.000 0.000
0.000 5.111 0.000
0.000 0.000 5.111
Ga Zr Na
2 1 1
Direct
0.000 0.500 0.000
0.000 0.000 0.500
0.500 0.000 0.000
0.500 0.500 0.500
```

***

Here is a relaxed NaZrGa crystal from Alexandria. Energies are from PBE-GGA.

Results
As for the final energy: -25.8 eV for the cell shown. Its energy of formation is 0.006 eV/atom. The value obtained for the density of states at the Fermi level is 4.55 states/eV/cell. The distance to the lowest polymorph of the same formula is 170 meV/atom. The space-group type is P2_1/m, No. 11.

POSCAR file:
```
NaZrGa
1.0
-0.358 0.711 3.047
-3.115 0.211 -0.415
-1.359 -14.010 3.087
Zr Ga Na
2 2 2
Direct
0.749 0.750 0.817
0.251 0.250 0.183
0.750 0.750 0.056
0.250 0.250 0.944
0.248 0.250 0.615
0.752 0.750 0.385
```

***

Here is a relaxed Nb5Ga4 crystal from Alexandria. Energies are from PBE-GGA.

Results
As for the final energy: -131.4 eV for the cell shown. Its energy of formation is -0.363 eV/atom. The value obtained for the density of states at the Fermi level is 10.91 states/eV/cell. The distance to the lowest polymorph of the same formula is 0 meV/atom. The space-group type is P6_3/mcm, No. 193.

POSCAR file:
```
Nb5Ga4
1.0
7.998 0.000 0.000
-3.999 6.927 0.000
0.000 0.000 5.487
Ga Nb
8 10
Direct
0.384 0.000 0.250
0.000 0.000 0.000
0.000 0.000 0.500
0.616 0.000 0.750
0.000 0.384 0.250
0.616 0.616 0.250
0.384 0.384 0.750
0.000 0.616 0.750
0.280 0.280 0.250
0.000 0.720 0.250
0.720 0.000 0.250
0.333 0.667 0.500
0.720 0.720 0.750
0.280 0.000 0.750
0.667 0.333 0.000
0.667 0.333 0.500
0.000 0.280 0.750
0.333 0.667 0.000
```

***

Here is a relaxed Nb5Ga3 crystal from Alexandria. Energies are from PBE-GGA.

Results
As for the final energy: -124.5 eV for the cell shown. Its energy of formation is -0.352 eV/atom. The value obtained for the density of states at the Fermi level is 11.83 states/eV/cell. The distance to the lowest polymorph of the same formula is 0 meV/atom. The space-group type is I4/mcm, No. 140.

POSCAR file:
```
Nb5Ga3
1.0
7.758 0.000 0.000
-6.075 4.825 0.000
-0.841 -2.413 7.325
Ga Nb
6 10
Direct
0.666 0.166 0.831
0.334 0.834 0.169
0.250 0.250 0.000
0.834 0.666 0.500
0.750 0.750 0.000
0.166 0.334 0.500
0.778 0.924 0.703
0.424 0.278 0.703
0.924 0.222 0.146
0.250 0.750 0.500
0.576 0.722 0.297
0.076 0.778 0.854
0.222 0.076 0.297
0.278 0.576 0.854
0.750 0.250 0.500
0.722 0.424 0.146
```

***

Here is a relaxed NbGa2 crystal from Alexandria. Energies are from PBE-GGA.

Results
As for the final energy: -66.4 eV for the cell shown. Its energy of formation is -0.156 eV/atom. The value obtained for the density of states at the Fermi level is 6.79 states/eV/cell. The space-group type is P2_1/m, No. 11.

POSCAR file:
```
NbGa2
1.0
3.780 0.000 0.000
0.000 7.569 0.012
0.000 0.025 7.072
Ga Nb
8 4
Direct
0.250 0.876 0.686
0.250 0.625 0.000
0.750 0.124 0.314
0.750 0.875 0.000
0.250 0.376 0.686
0.750 0.624 0.314
0.750 0.375 0.000
0.250 0.125 0.000
0.250 0.374 0.312
0.750 0.126 0.688
0.750 0.626 0.688
0.250 0.874 0.312
```

***

Here is a relaxed NbGa2 crystal from Alexandria. Energies are from PBE-GGA.

Results
As for the final energy: -16.4 eV for the cell shown. Its energy of formation is -0.104 eV/atom. The value obtained for the density of states at the Fermi level is 1.34 states/eV/cell. The space-group type is Fmmm, No. 69.

POSCAR file:
```
NbGa2
1.0
3.205 -0.295 -0.006
-0.295 3.205 -0.006
-1.446 -1.446 4.979
Ga Nb
2 1
Direct
0.827 0.827 0.653
0.173 0.173 0.347
0.500 0.500 0.000
```

***

Here is a relaxed Nb8Ga crystal from Alexandria. Energies are from PBE-GGA.

Results
As for the final energy: -84.2 eV for the cell shown. Its energy of formation is -0.064 eV/atom. The value obtained for the density of states at the Fermi level is 8.17 states/eV/cell. The space-group type is Fmmm, No. 69.

POSCAR file:
```
Nb8Ga
1.0
4.487 0.000 1.175
2.244 4.946 0.587
0.453 0.000 7.429
Nb Ga
8 1
Direct
0.662 0.000 0.676
0.001 0.331 0.668
0.670 0.659 0.000
0.668 0.331 0.332
0.999 0.669 0.332
0.338 0.000 0.324
0.330 0.341 0.000
0.332 0.669 0.668
0.000 0.000 0.000
```

***

Here is a relaxed Nb5Ga3 crystal from Alexandria. Energies are from PBE-GGA.

Results
As for the final energy: -120.5 eV for the cell shown. Its energy of formation is -0.104 eV/atom. The value obtained for the density of states at the Fermi level is 15.21 states/eV/cell. The distance to the lowest polymorph of the same formula is 248 meV/atom. The space-group type is I4/mcm, No. 140.

POSCAR file:
```
Nb5Ga3
1.0
-5.282 5.282 2.532
5.282 -5.282 2.532
5.282 5.282 -2.532
Ga Nb
6 10
Direct
0.666 0.166 0.832
0.834 0.666 0.500
0.334 0.834 0.168
0.500 0.500 0.000
0.166 0.334 0.500
0.000 0.000 0.000
0.422 0.267 0.689
0.250 0.750 0.500
0.233 0.078 0.311
0.767 0.922 0.689
0.733 0.422 0.156
0.922 0.233 0.156
0.750 0.250 0.500
0.267 0.578 0.844
0.578 0.733 0.311
0.078 0.767 0.844
```

***

Here is a relaxed Nb5Ga3 crystal from Alexandria. Energies are from PBE-GGA.

Results
As for the final energy: -123.1 eV for the cell shown. Its energy of formation is -0.264 eV/atom. The value obtained for the density of states at the Fermi level is 15.21 states/eV/cell. The distance to the lowest polymorph of the same formula is 88 meV/atom. The space-group type is P6_3/mcm, No. 193.

POSCAR file:
```
Nb5Ga3
1.0
-3.641 6.637 -1.813
0.233 -2.417 7.396
4.522 2.681 0.733
Nb Ga
10 6
Direct
0.667 0.333 0.000
0.752 0.000 0.250
0.333 0.667 0.000
0.333 0.667 0.500
0.248 0.000 0.750
0.248 0.248 0.250
0.000 0.752 0.250
0.667 0.333 0.500
0.000 0.248 0.750
0.752 0.752 0.750
0.000 0.393 0.250
0.393 0.000 0.250
0.393 0.393 0.750
0.607 0.000 0.750
0.607 0.607 0.250
0.000 0.607 0.750
```

***

Here is a relaxed Nb2Ga crystal from Alexandria. Energies are from PBE-GGA.

Results
As for the final energy: -41.4 eV for the cell shown. Its energy of formation is 0.820 eV/atom. The value obtained for the density of states at the Fermi level is 4.64 states/eV/cell. The space-group type is P4_2/mnm, No. 136.

POSCAR file:
```
Nb2Ga
1.0
-2.521 0.067 2.780
-2.892 -4.378 -2.518
3.196 -3.832 2.991
Nb Ga
4 2
Direct
0.500 0.298 0.702
0.000 0.202 0.202
0.500 0.702 0.298
0.000 0.798 0.798
0.000 0.500 0.500
0.500 0.000 0.000
```

***

Here is a relaxed Nb5Ga4 crystal from Alexandria. Energies are from PBE-GGA.

Results
As for the final energy: -63.8 eV for the cell shown. Its energy of formation is -0.145 eV/atom. The value obtained for the density of states at the Fermi level is 3.31 states/eV/cell. The distance to the lowest polymorph of the same formula is 218 meV/atom. The space-group type is I4/mmm, No. 139.

POSCAR file:
```
Nb5Ga4
1.0
4.590 0.000 0.000
2.294 5.830 -0.001
2.294 -0.001 5.830
Nb Ga
5 4
Direct
0.829 0.342 0.000
0.171 0.658 0.000
0.171 0.000 0.658
0.829 0.000 0.342
0.500 0.000 0.000
0.829 0.671 0.671
0.171 0.329 0.329
0.500 0.671 0.329
0.500 0.329 0.671
```

***

Here is a relaxed NbGa2 crystal from Alexandria. Energies are from PBE-GGA.

Results
As for the final energy: -32.9 eV for the cell shown. Its energy of formation is -0.103 eV/atom. The value obtained for the density of states at the Fermi level is 4.43 states/eV/cell. The space-group type is Fd-3m, No. 227.

POSCAR file:
```
NbGa2
1.0
5.131 0.000 0.000
2.565 4.443 0.000
2.565 1.481 4.189
Nb Ga
2 4
Direct
0.250 0.250 0.250
0.000 0.000 0.000
0.625 0.625 0.125
0.125 0.625 0.625
0.625 0.125 0.625
0.625 0.625 0.625
```

***

Here is a relaxed Nb5Ga13 crystal from Alexandria. Energies are from PBE-GGA.

Results
As for the final energy: -95.6 eV for the cell shown. Its energy of formation is -0.328 eV/atom. The value obtained for the density of states at the Fermi level is 5.81 states/eV/cell. The space-group type is Cmmm, No. 65.

POSCAR file:
```
Nb5Ga13
1.0
-20.143 3.200 -0.509
19.724 -4.158 -3.150
-0.598 -3.605 1.013
Ga Nb
13 5
Direct
0.945 0.055 0.000
0.772 0.228 0.500
0.664 0.336 0.500
0.000 0.000 0.500
0.835 0.165 0.000
0.388 0.612 0.000
0.165 0.835 0.000
0.228 0.772 0.500
0.055 0.945 0.000
0.612 0.388 0.000
0.336 0.664 0.500
0.555 0.445 0.500
0.445 0.555 0.500
0.716 0.284 0.000
0.892 0.108 0.500
0.108 0.892 0.500
0.500 0.500 0.000
0.284 0.716 0.000
```

***

Here is a relaxed Nb5Ga3 crystal from Alexandria. Energies are from PBE-GGA.

Results
As for the final energy: -124.3 eV for the cell shown. Its energy of formation is -0.341 eV/atom. The value obtained for the density of states at the Fermi level is 9.96 states/eV/cell. The distance to the lowest polymorph of the same formula is 12 meV/atom. The space-group type is I4/mcm, No. 140.

POSCAR file:
```
Nb5Ga3
1.0
-6.446 -1.834 1.292
2.243 -5.164 3.858
2.051 7.021 2.168
Ga Nb
6 10
Direct
0.866 0.366 0.000
0.750 0.750 0.500
0.134 0.634 0.000
0.250 0.250 0.500
0.634 0.866 0.000
0.366 0.134 0.000
0.319 0.493 0.312
0.681 0.507 0.688
0.007 0.181 0.688
0.993 0.819 0.312
0.000 0.000 0.000
0.181 0.681 0.688
0.493 0.993 0.312
0.819 0.319 0.312
0.500 0.500 0.000
0.507 0.007 0.688
```

***

Here is a relaxed NbGa5 crystal from Alexandria. Energies are from PBE-GGA.

Results
As for the final energy: -25.6 eV for the cell shown. Its energy of formation is -0.059 eV/atom. The value obtained for the density of states at the Fermi level is 2.78 states/eV/cell. The space-group type is Cmmm, No. 65.

POSCAR file:
```
NbGa5
1.0
3.857 0.000 0.000
0.000 3.890 0.000
0.000 -1.945 6.811
Ga Nb
5 1
Direct
0.500 0.500 0.000
0.000 0.657 0.314
0.000 0.343 0.686
0.500 0.831 0.663
0.500 0.169 0.337
0.000 0.000 0.000
```

***

Here is a relaxed Nb2Ga crystal from Alexandria. Energies are from PBE-GGA.

Results
As for the final energy: -241.0 eV for the cell shown. Its energy of formation is -0.313 eV/atom. The value obtained for the density of states at the Fermi level is 18.23 states/eV/cell. The space-group type is P4_2/mnm, No. 136.

POSCAR file:
```
Nb2Ga
1.0
-1.429 -3.853 -3.181
-4.174 -4.779 7.662
-8.606 4.662 -1.781
Nb Ga
20 10
Direct
0.500 0.103 0.897
0.752 0.682 0.318
0.000 0.603 0.603
0.500 0.964 0.371
0.248 0.318 0.682
0.000 0.871 0.536
0.500 0.371 0.964
0.748 0.182 0.182
0.000 0.464 0.129
0.252 0.818 0.818
0.500 0.036 0.629
0.000 0.129 0.464
0.748 0.818 0.818
0.000 0.536 0.871
0.752 0.318 0.682
0.500 0.629 0.036
0.252 0.182 0.182
0.500 0.897 0.103
0.000 0.397 0.397
0.248 0.682 0.318
0.000 0.067 0.737
0.000 0.737 0.067
0.500 0.500 0.500
0.000 0.000 0.000
0.000 0.933 0.263
0.500 0.567 0.763
0.500 0.763 0.567
0.500 0.237 0.433
0.500 0.433 0.237
0.000 0.263 0.933
```

***

Here is a relaxed Nb7Ga3 crystal from Alexandria. Energies are from PBE-GGA.

Results
As for the final energy: -81.8 eV for the cell shown. Its energy of formation is -0.222 eV/atom. The value obtained for the density of states at the Fermi level is 5.80 states/eV/cell. The space-group type is C2/m, No. 12.

POSCAR file:
```
Nb7Ga3
1.0
-0.220 3.994 2.096
-5.605 -0.404 0.182
3.685 -4.922 4.900
Ga Nb
3 7
Direct
0.802 0.341 0.604
0.198 0.659 0.396
0.000 0.000 0.000
0.000 0.500 0.000
0.601 0.817 0.203
0.399 0.183 0.797
0.395 0.676 0.790
0.802 0.854 0.605
0.605 0.324 0.210
0.198 0.146 0.395
```

***

Here is a relaxed NdNbGa crystal from Alexandria. Energies are from PBE-GGA.

Results
As for the final energy: -35.6 eV for the cell shown. Its energy of formation is 0.023 eV/atom. The value obtained for the density of states at the Fermi level is 7.08 states/eV/cell. The space-group type is Amm2, No. 38.

POSCAR file:
```
NdNbGa
1.0
-1.566 2.303 -3.464
1.449 -2.752 0.367
-11.895 -6.087 1.329
Ga Nd Nb
2 2 2
Direct
0.194 0.388 0.500
0.695 0.390 0.000
0.195 0.390 0.174
0.195 0.390 0.826
0.694 0.388 0.632
0.694 0.388 0.368
```

***

Here is a relaxed Nd2NbGaO7 crystal from Alexandria. Energies are from PBE-GGA.

Results
As for the final energy: -176.4 eV for the cell shown. The value obtained for the density of states at the Fermi level is 0.00 states/eV/cell. The space-group type is Imma, No. 74. For the energy relative to the elements, uncorrected, the calculation gives -2.81 eV/atom.

POSCAR file:
```
Nd2NbGaO7
1.0
7.442 0.000 0.004
0.021 7.442 -0.004
-3.644 -3.809 5.254
Nd O Nb Ga
4 14 2 2
Direct
0.500 0.500 0.000
0.500 0.500 0.500
0.000 0.500 0.500
0.500 0.000 0.000
0.080 0.330 0.750
0.625 0.375 0.250
0.081 0.924 0.755
0.081 0.326 0.157
0.919 0.674 0.843
0.669 0.326 0.745
0.331 0.674 0.255
0.327 0.077 0.250
0.673 0.923 0.750
0.375 0.625 0.750
0.919 0.076 0.245
0.920 0.670 0.250
0.669 0.924 0.343
0.331 0.076 0.657
0.000 0.000 0.000
0.500 0.000 0.500
0.000 0.000 0.500
0.000 0.500 0.000
```

***

Table of M_tot (μB/cell), in record order: 0.00, 0.19, 0.00, 0.00, 0.00, 0.00, 0.00, 0.00, 0.00, 0.00, 0.00, 0.00, 0.00, 0.00, 0.00, 0.00, 0.00, 0.00, 0.00, 0.00